Pr6Ni2CCl3: relaxed, PBE.

Unit cell a=9.576 b=9.576 c=8.740 alpha=106.84 beta=106.84 gamma=23.41
Atoms (fractional coordinates):
Pr 0.004 0.004 0.206
Pr 0.327 0.327 0.443
Pr 0.352 0.352 0.901
Pr 0.648 0.648 0.099
Pr 0.673 0.673 0.557
Pr 0.996 0.996 0.794
Ni 0.165 0.165 0.333
Ni 0.835 0.835 0.667
C 0.500 0.500 0.000
Cl 0.165 0.165 0.838
Cl 0.500 0.500 0.500
Cl 0.835 0.835 0.162

- Space-group type: C2/m, No. 12
- Formation energy without anion corrections: -20.33 kcal/mol of atoms